Entry 1:
## Dy12ZnPd6 (GGA-PBE)

Data for a relaxed Dy12ZnPd6 crystal.

Results
Calculated volume in Å³/f.u.: 536.7
Formation enthalpy at 0 K in eV/f.u.: -8.36

Cell: 12.9966 12.9966 11.0072 Å, 90.00 90.00 120.00°
Space group R-3 (No. 148, hexagonal axes)
Symmetry-distinct sites (fractional):
Dy 0.0289 0.2105 0.3820 (multiplicity 18)
Dy 0.0389 0.2115 0.8858 (multiplicity 18)
Zn 0.0000 0.0000 0.0000 (multiplicity 3)
Pd 0.0420 0.2615 0.6403 (multiplicity 18)

---

Entry 2:
## Dy2Zn16Pd (GGA-PBE)

Data for a relaxed Dy2Zn16Pd crystal.

Results
Calculated volume in Å³/f.u.: 305.1
Formation enthalpy at 0 K in eV/f.u.: -5.39

Cell: 8.9673 8.9673 13.1424 Å, 90.00 90.00 120.00°
Space group R3m (No. 160, hexagonal axes)
Symmetry-distinct sites (fractional):
Dy 0.0000 0.0000 0.0000 (multiplicity 3)
Dy 0.0000 0.0000 0.3283 (multiplicity 3)
Zn 0.0000 0.0000 0.5626 (multiplicity 3)
Zn 0.0004 0.2938 0.6673 (multiplicity 18)
Zn 0.0125 0.5063 0.8174 (multiplicity 9)
Zn 0.1681 0.3361 0.5000 (multiplicity 9)
Zn 0.1693 0.3387 0.8485 (multiplicity 9)
Pd 0.0000 0.0000 0.7649 (multiplicity 3)

---

Entry 3:
## DyZnPd (GGA-PBE)

Data for a relaxed DyZnPd crystal.

Results
Calculated volume in Å³/f.u.: 59.4
Formation enthalpy at 0 K in eV/f.u.: -2.25

Cell: 7.3022 7.3022 3.8605 Å, 90.00 90.00 120.00°
Space group P-62m (No. 189)
Symmetry-distinct sites (fractional):
Dy 0.0000 0.5951 0.0000 (multiplicity 3)
Zn 0.0000 0.2515 0.5000 (multiplicity 3)
Pd 0.0000 0.0000 0.0000 (multiplicity 1)
Pd 0.3333 0.6667 0.5000 (multiplicity 2)

---

Entry 4:
## Dy7Zn2Pd2 (GGA-PBE)

Data for a relaxed Dy7Zn2Pd2 crystal.

Results
Calculated volume in Å³/f.u.: 299.7
Formation enthalpy at 0 K in eV/f.u.: -2.84

Cell: 7.714 10.875 7.145 Å, 90.00 90.00 90.00°
Space group Cmmm (No. 65)
Symmetry-distinct sites (fractional):
Dy 0.000 0.000 0.000 (multiplicity 2)
Dy 0.000 0.500 0.261 (multiplicity 4)
Dy 0.250 0.250 0.267 (multiplicity 8)
Zn 0.167 0.000 0.500 (multiplicity 4)
Pd 0.000 0.293 0.000 (multiplicity 4)

---

Entry 5:
## Dy8ZnPd2 (GGA-PBE)

Data for a relaxed Dy8ZnPd2 crystal.

Results
Calculated volume in Å³/f.u.: 305.0
Formation enthalpy at 0 K in eV/f.u.: -2.75
Excess energy over the best structure of this formula in the dataset in eV per atom: 0.124

Cell: 8.468 13.427 5.613 Å, 90.00 107.08 90.00°
Space group Cm (No. 8)
Symmetry-distinct sites (fractional):
Dy 0.000 0.000 0.000 (multiplicity 2)
Dy 0.085 0.376 0.777 (multiplicity 4)
Dy 0.165 0.125 0.585 (multiplicity 4)
Dy 0.258 0.500 0.377 (multiplicity 2)
Dy 0.372 0.228 0.188 (multiplicity 4)
Zn 0.375 0.000 0.283 (multiplicity 2)
Pd 0.377 0.303 0.691 (multiplicity 4)

---

Entry 6:
## Dy4ZnPd (GGA-PBE)

Data for a relaxed Dy4ZnPd crystal.

Results
Calculated volume in Å³/f.u.: 153.4
Formation enthalpy at 0 K in eV/f.u.: -2.54
Excess energy over the best structure of this formula in the dataset in eV per atom: 0.000

Cell: 13.489 13.489 13.489 Å, 90.00 90.00 90.00°
Space group F-43m (No. 216)
Symmetry-distinct sites (fractional):
Dy 0.000 0.000 0.184 (multiplicity 24)
Dy 0.060 0.250 0.750 (multiplicity 24)
Dy 0.111 0.111 0.389 (multiplicity 16)
Zn 0.168 0.168 0.168 (multiplicity 16)
Pd 0.103 0.103 0.603 (multiplicity 16)

---

Entry 7:
## DyZn2Pd7 (GGA-PBE)

Data for a relaxed DyZn2Pd7 crystal.

Results
Calculated volume in Å³/f.u.: 201.8
Formation enthalpy at 0 K in eV/f.u.: -1.35

Cell: 7.258 12.471 4.459 Å, 90.00 90.00 90.00°
Space group Cmmm (No. 65)
Symmetry-distinct sites (fractional):
Dy 0.000 0.000 0.000 (multiplicity 2)
Zn 0.000 0.300 0.500 (multiplicity 4)
Pd 0.000 0.215 0.000 (multiplicity 4)
Pd 0.000 0.500 0.500 (multiplicity 2)
Pd 0.187 0.117 0.500 (multiplicity 8)

---

Entry 8:
## Dy3ZnPd (GGA-PBE)

Data for a relaxed Dy3ZnPd crystal.

Results
Calculated volume in Å³/f.u.: 120.8
Formation enthalpy at 0 K in eV/f.u.: -2.37
Excess energy over the best structure of this formula in the dataset in eV per atom: 0.000

Cell: 4.982 19.479 4.977 Å, 90.00 90.00 90.00°
Space group Cmcm (No. 63)
Symmetry-distinct sites (fractional):
Dy 0.000 0.066 0.250 (multiplicity 4)
Dy 0.000 0.249 0.250 (multiplicity 4)
Dy 0.000 0.432 0.250 (multiplicity 4)
Zn 0.000 0.157 0.750 (multiplicity 4)
Pd 0.000 0.336 0.750 (multiplicity 4)